## La4HPb (PBE)

Data for an optimized crystal structure of La4HPb.

Unit cell a=17.9370 b=6.2307 c=6.3129 alpha=90.00 beta=97.81 gamma=90.00
With the nearest neighbours (Å) after each atom.
Space group C2/c (No. 15)
Asymmetric unit:
La1 0.0890 0.2061 0.2602 x8  1 H 3.09, 2 La 3.18-3.23, 1 Pb 3.43
La2 0.2060 0.3965 0.8129 x8  2 H 2.40-2.57
H1 0.2500 0.2500 0.5000 x4  4 La 2.40-2.57
Pb1 0.0000 0.2883 0.7500 x4  10 La 3.43-3.72

## TlSiH3 (PBE)

Data for an optimized crystal structure of TlSiH3.

Unit cell a=9.9363 b=7.5070 c=4.1980 alpha=90.00 beta=90.00 gamma=90.00
With the nearest neighbours (Å) after each atom.
Space group Pnma (No. 62)
Asymmetric unit:
Tl1 0.0000 0.0000 0.0000 x4  4 H 2.68-2.95
Si1 0.1901 0.2500 0.4638 x4  3 H 1.52-1.53
H1 0.2093 0.7500 0.6901 x4  1 Si 1.52
H2 0.2489 0.0970 0.6588 x8  1 Si 1.53

## Properties
Polymorph energy (0 for the lowest one): 0.0 meV per atom

Let's list DFT total energy in order: -4.6830, -3.3873 eV per atom.